Entry 1:
## Ho3In3CuPd2 (PBE-GGA)

Data for a relaxed structure of Ho3In3CuPd2.

Geometry as POSCAR:
```
Ho3In3CuPd2
1.0
-6.723 1.393 3.320
1.750 -7.075 -2.247
1.549 -0.707 3.433
Cu Ho In Pd
1 3 3 2
direct
0.000 0.000 0.500
0.591 0.000 0.500
0.409 0.409 0.500
0.000 0.591 0.500
0.253 0.000 0.000
0.000 0.253 0.000
0.747 0.747 0.000
0.667 0.333 0.000
0.333 0.667 0.000
```

Total DFT energy (no corrections) ... -4.704 eV per atom
Size of the total moment ... 0.007 μB/f.u.
SG ... No. 189
Volume ... 21.45 A^3/atom

=====

Entry 2:
## DyScO3 (PBE-GGA)

Data for a relaxed structure of DyScO3.

Geometry as POSCAR:
```
DyScO3
1.0
-1.371 -1.985 -2.985
1.474 -3.226 1.468
-3.921 -0.746 2.297
Dy O Sc
1 3 1
direct
0.000 0.000 0.930
0.500 0.500 0.106
0.500 0.000 0.668
0.000 0.500 0.668
0.500 0.500 0.529
```

Total DFT energy (no corrections) ... -8.477 eV per atom
Size of the total moment ... 0.000 μB/f.u.
SG ... No. 99
Volume ... 13.57 A^3/atom

=====

Entry 3:
## GaSnOs (PBE-GGA)

Data for a relaxed structure of GaSnOs.

Geometry as POSCAR:
```
GaSnOs
1.0
-4.146 -1.345 0.440
-2.954 0.961 -3.089
-1.563 -3.164 -2.595
Ga Os Sn
1 1 1
direct
0.250 0.250 0.250
0.000 0.000 0.000
0.750 0.750 0.750
```

Total DFT energy (no corrections) ... -5.913 eV per atom
Size of the total moment ... 0.000 μB/f.u.
SG ... No. 216
Volume ... 19.81 A^3/atom

=====

Entry 4:
## NbFe4Pt (PBE-GGA)

Data for a relaxed structure of NbFe4Pt.

Geometry as POSCAR:
```
NbFe4Pt
1.0
1.491 3.846 2.389
-1.860 1.024 4.268
2.640 -0.514 3.936
Fe Nb Pt
4 1 1
direct
0.625 0.625 0.124
0.625 0.124 0.625
0.625 0.625 0.625
0.124 0.625 0.625
0.000 0.000 0.000
0.250 0.250 0.250
```

Size of the total moment ... 7.194 μB/f.u.
SG ... No. 216
Energy of formation ... -5.4 kcal/mol of atoms
Volume ... 12.76 A^3/atom

=====

Entry 5:
## Gd3S2N (PBE-GGA)

Data for a relaxed structure of Gd3S2N.

Geometry as POSCAR:
```
Gd3S2N
1.0
3.737 0.000 0.000
-1.868 3.236 0.000
0.000 0.000 9.639
Gd N S
3 1 2
direct
0.667 0.333 0.136
0.000 0.000 0.500
0.333 0.667 0.864
0.000 0.000 0.000
0.333 0.667 0.322
0.667 0.333 0.678
```

Total DFT energy (no corrections) ... -6.962 eV per atom
Size of the total moment ... 0.008 μB/f.u.
SG ... No. 164
Volume ... 19.43 A^3/atom

=====

Entry 6:
## FeSnIrW (PBE-GGA)

Data for a relaxed structure of FeSnIrW.

Geometry as POSCAR:
```
FeSnIrW
1.0
2.531 -3.471 1.194
-1.907 -3.884 1.075
0.400 -3.508 -2.722
Fe Ir Sn W
1 1 1 1
direct
0.750 0.750 0.750
0.250 0.250 0.250
0.000 0.000 0.000
0.500 0.500 0.500
```

Total DFT energy (no corrections) ... -8.302 eV per atom
Size of the total moment ... 2.492 μB/f.u.
SG ... No. 216
Volume ... 15.67 A^3/atom

=====

Entry 7:
## NaYAsIr (PBE-GGA)

Data for a relaxed structure of NaYAsIr.

Geometry as POSCAR:
```
NaYAsIr
1.0
-3.111 -0.104 3.517
-4.276 -1.813 -0.700
-1.168 -4.095 1.982
As Ir Na Y
1 1 1 1
direct
0.000 0.000 0.000
0.250 0.250 0.250
0.750 0.750 0.750
0.500 0.500 0.500
```

Total DFT energy (no corrections) ... -5.739 eV per atom
Size of the total moment ... 0.001 μB/f.u.
SG ... No. 216
Volume ... 18.32 A^3/atom

=====

Entry 8:
## YErAg (PBE-GGA)

Data for a relaxed structure of YErAg.

Geometry as POSCAR:
```
YErAg
1.0
-4.492 -0.869 1.786
-3.962 1.519 -2.474
-2.926 -3.275 -2.200
Ag Er Y
1 1 1
direct
0.250 0.250 0.250
0.750 0.750 0.750
0.000 0.000 0.000
```

Size of the total moment ... 0.002 μB/f.u.
SG ... No. 216
Energy of formation ... 14.0 kcal/mol of atoms
Volume ... 27.93 A^3/atom

=====

Entry 9:
## LaTb2Mg3Tl3 (PBE-GGA)

Data for a relaxed structure of LaTb2Mg3Tl3.

Geometry as POSCAR:
```
LaTb2Mg3Tl3
1.0
-2.285 0.696 -4.082
-1.737 -7.476 -0.303
-4.680 5.003 3.473
La Mg Tb Tl
1 3 2 3
direct
0.000 0.432 0.432
0.500 0.242 0.000
0.500 0.000 0.242
0.500 0.757 0.757
0.000 0.573 0.002
0.000 0.002 0.573
0.500 0.673 0.330
0.500 0.330 0.673
0.000 0.991 0.991
```

Total DFT energy (no corrections) ... -3.228 eV per atom
Size of the total moment ... 0.011 μB/f.u.
SG ... No. 38
Volume ... 26.60 A^3/atom

=====

Entry 10:
## AlCdGaSe2S2 (PBE-GGA)

Data for a relaxed structure of AlCdGaSe2S2.

Geometry as POSCAR:
```
AlCdGaSe2S2
1.0
3.997 -5.322 0.000
3.997 5.322 0.000
-3.926 0.000 4.112
Al Cd Ga S Se
1 1 1 2 2
direct
0.006 0.994 0.000
0.503 0.497 0.000
0.246 0.754 0.500
0.914 0.647 0.018
0.353 0.086 0.982
0.084 0.357 0.461
0.643 0.916 0.539
```

Total DFT energy (no corrections) ... -4.044 eV per atom
SG ... No. 5
Volume ... 25.00 A^3/atom

=====

Entry 11:
## Ba2HoO3F (PBE-GGA)

Data for a relaxed structure of Ba2HoO3F.

Geometry as POSCAR:
```
Ba2HoO3F
1.0
4.280 0.000 0.000
0.000 4.280 0.000
0.000 0.000 13.761
Ba F Ho O
4 2 2 6
direct
0.500 0.000 0.102
0.500 0.000 0.382
0.000 0.500 0.618
0.000 0.500 0.898
0.000 0.500 0.425
0.500 0.000 0.575
0.000 0.500 0.238
0.500 0.000 0.762
0.000 0.500 0.081
0.000 0.000 0.265
0.500 0.500 0.265
0.000 0.000 0.735
0.500 0.500 0.735
0.500 0.000 0.919
```

Total DFT energy (no corrections) ... -6.771 eV per atom
Size of the total moment ... 0.004 μB/f.u.
SG ... No. 129
Volume ... 18.01 A^3/atom

=====

Entry 12:
## AlFe2Sb (PBE-GGA)

Data for a relaxed structure of AlFe2Sb.

Geometry as POSCAR:
```
AlFe2Sb
1.0
5.985 0.000 0.000
0.000 5.985 0.000
0.000 0.000 5.985
Al Fe Sb
4 8 4
direct
0.000 0.000 0.000
0.500 0.000 0.000
0.000 0.500 0.000
0.000 0.000 0.500
0.247 0.247 0.247
0.753 0.247 0.247
0.247 0.753 0.247
0.753 0.753 0.247
0.247 0.247 0.753
0.753 0.247 0.753
0.247 0.753 0.753
0.753 0.753 0.753
0.500 0.500 0.000
0.500 0.000 0.500
0.000 0.500 0.500
0.500 0.500 0.500
```

Total DFT energy (no corrections) ... -6.083 eV per atom
Size of the total moment ... 0.001 μB/f.u.
SG ... No. 221
Volume ... 13.40 A^3/atom

=====

Entry 13:
## BaHoNO (PBE-GGA)

Data for a relaxed structure of BaHoNO.

Geometry as POSCAR:
```
BaHoNO
1.0
-4.177 -0.581 -1.986
0.833 -4.567 -0.415
-3.510 -1.346 7.774
Ba Ho N O
2 2 2 2
direct
0.250 0.250 0.115
0.750 0.750 0.885
0.750 0.250 0.500
0.250 0.750 0.500
0.250 0.250 0.462
0.750 0.750 0.538
0.750 0.250 0.000
0.250 0.750 0.000
```

Total DFT energy (no corrections) ... -6.545 eV per atom
Size of the total moment ... 0.003 μB/f.u.
SG ... No. 129
Volume ... 23.45 A^3/atom

=====

Entry 14:
## Sm3As4 (PBE-GGA)

Data for a relaxed structure of Sm3As4.

Geometry as POSCAR:
```
Sm3As4
1.0
-3.179 -6.097 3.247
-3.697 6.266 2.211
-0.414 -0.651 -7.564
As Sm
8 6
direct
0.339 0.500 0.000
0.839 0.500 0.000
0.161 0.161 0.161
0.500 0.000 0.339
0.000 0.339 0.500
0.000 0.839 0.500
0.661 0.661 0.661
0.500 0.000 0.839
0.750 0.875 0.125
0.625 0.375 0.250
0.250 0.625 0.375
0.375 0.250 0.625
0.875 0.125 0.750
0.125 0.750 0.875
```

Total DFT energy (no corrections) ... -5.796 eV per atom
Size of the total moment ... 0.008 μB/f.u.
SG ... No. 220
Volume ... 24.17 A^3/atom

=====

Entry 15:
## Tc6SnW2 (PBE-GGA)

Data for a relaxed structure of Tc6SnW2.

Geometry as POSCAR:
```
Tc6SnW2
1.0
3.753 0.000 0.000
0.000 3.785 0.000
0.000 0.000 12.697
Sn Tc W
1 6 2
direct
0.000 0.000 0.000
0.500 0.500 0.000
0.000 0.500 0.174
0.500 0.000 0.175
0.500 0.500 0.500
0.500 0.000 0.825
0.000 0.500 0.826
0.500 0.500 0.312
0.500 0.500 0.688
```

Total DFT energy (no corrections) ... -9.019 eV per atom
Size of the total moment ... 2.253 μB/f.u.
SG ... No. 47
Volume ... 20.04 A^3/atom

=====

Entry 16:
## LaSmHo (PBE-GGA)

Data for a relaxed structure of LaSmHo.

Geometry as POSCAR:
```
LaSmHo
1.0
0.886 -5.246 1.503
-3.763 -3.880 -1.158
1.071 -3.831 -3.838
Ho La Sm
1 1 1
direct
0.000 0.000 0.000
0.250 0.250 0.250
0.750 0.750 0.750
```

Size of the total moment ... 0.001 μB/f.u.
SG ... No. 216
Energy of formation ... 15.5 kcal/mol of atoms
Volume ... 39.81 A^3/atom

=====

Entry 17:
## HoLuSiGeOs (PBE-GGA)

Data for a relaxed structure of HoLuSiGeOs.

Geometry as POSCAR:
```
HoLuSiGeOs
1.0
5.341 -2.134 0.000
5.341 2.134 0.000
-4.717 0.000 8.681
Ge Ho Lu Os Si
2 2 2 2 2
direct
0.358 0.358 0.437
0.642 0.642 0.563
0.993 0.993 0.318
0.007 0.007 0.682
0.181 0.181 0.109
0.819 0.819 0.891
0.726 0.726 0.363
0.274 0.274 0.637
0.495 0.495 0.122
0.505 0.505 0.878
```

Total DFT energy (no corrections) ... -6.763 eV per atom
Size of the total moment ... 0.010 μB/f.u.
SG ... No. 12
Volume ... 19.79 A^3/atom

=====

Entry 18:
## Dy2Al5Au3 (PBE-GGA)

Data for a relaxed structure of Dy2Al5Au3.

Geometry as POSCAR:
```
Dy2Al5Au3
1.0
6.500 -5.438 1.538
-7.272 2.640 3.788
-3.100 -4.816 -6.434
Al Au Dy
10 6 4
direct
0.386 0.645 0.031
0.492 0.250 0.242
0.992 0.750 0.242
0.114 0.145 0.259
0.750 0.250 0.500
0.250 0.750 0.500
0.886 0.855 0.741
0.008 0.250 0.758
0.508 0.750 0.758
0.614 0.355 0.969
0.250 0.250 0.000
0.750 0.750 0.000
0.371 0.870 0.240
0.129 0.370 0.499
0.871 0.630 0.501
0.629 0.130 0.760
0.871 0.260 0.130
0.629 0.760 0.389
0.371 0.240 0.611
0.129 0.740 0.870
```

Total DFT energy (no corrections) ... -4.432 eV per atom
Size of the total moment ... 0.011 μB/f.u.
SG ... No. 72
Volume ... 19.64 A^3/atom

=====

Entry 19:
## GdIrPb2O6 (PBE-GGA)

Data for a relaxed structure of GdIrPb2O6.

Geometry as POSCAR:
```
GdIrPb2O6
1.0
-2.896 2.896 4.197
2.896 -2.896 4.197
2.896 2.896 -4.197
Gd Ir O Pb
1 1 6 2
direct
0.000 0.000 0.000
0.500 0.500 0.000
0.266 0.266 0.000
0.734 0.734 0.000
0.330 0.793 0.122
0.793 0.670 0.463
0.207 0.330 0.537
0.670 0.207 0.878
0.750 0.250 0.500
0.250 0.750 0.500
```

Total DFT energy (no corrections) ... -6.606 eV per atom
Size of the total moment ... 1.221 μB/f.u.
SG ... No. 87
Volume ... 14.08 A^3/atom

=====

Entry 20:
## ScAgPd (PBE-GGA)

Data for a relaxed structure of ScAgPd.

Geometry as POSCAR:
```
ScAgPd
1.0
1.473 1.116 4.049
-2.250 -1.284 3.619
1.698 -3.115 2.687
Ag Pd Sc
1 1 1
direct
0.250 0.250 0.250
0.000 0.000 0.000
0.750 0.750 0.750
```

Size of the total moment ... 0.005 μB/f.u.
SG ... No. 216
Energy of formation ... -8.4 kcal/mol of atoms
Volume ... 20.78 A^3/atom

=====

Entry 21:
## DyY2Fe7Co2 (PBE-GGA)

Data for a relaxed structure of DyY2Fe7Co2.

Geometry as POSCAR:
```
DyY2Fe7Co2
1.0
-3.988 7.552 1.048
-3.466 5.491 5.645
0.448 7.860 3.473
Co Dy Fe Y
2 1 7 2
direct
0.333 0.333 0.333
0.667 0.667 0.667
0.000 0.000 0.000
0.581 0.581 0.082
0.918 0.419 0.419
0.419 0.918 0.419
0.500 0.500 0.500
0.581 0.082 0.581
0.082 0.581 0.581
0.419 0.419 0.918
0.142 0.142 0.142
0.858 0.858 0.858
```

Size of the total moment ... 16.395 μB/f.u.
SG ... No. 166
Energy of formation ... -2.0 kcal/mol of atoms
Volume ... 14.98 A^3/atom

=====

Entry 22:
## TmB4Mo (PBE-GGA)

Data for a relaxed structure of TmB4Mo.

Geometry as POSCAR:
```
TmB4Mo
1.0
1.850 -4.295 0.150
-3.807 -2.136 1.686
1.509 2.222 -3.831
B Mo Tm
4 1 1
direct
0.586 0.249 0.337
0.088 0.751 0.337
0.912 0.249 0.663
0.414 0.751 0.663
0.500 0.500 0.000
0.000 0.000 0.000
```

Total DFT energy (no corrections) ... -7.560 eV per atom
Size of the total moment ... 0.002 μB/f.u.
SG ... No. 71
Volume ... 9.86 A^3/atom

=====

Entry 23:
## PmP2 (PBE-GGA)

Data for a relaxed structure of PmP2.

Geometry as POSCAR:
```
PmP2
1.0
-5.135 0.270 1.751
-3.106 4.251 -1.337
-4.102 -0.629 -3.505
P Pm
4 2
direct
0.625 0.625 0.125
0.625 0.125 0.625
0.125 0.625 0.625
0.625 0.625 0.625
0.000 0.000 0.000
0.250 0.250 0.250
```

Total DFT energy (no corrections) ... -5.503 eV per atom
Size of the total moment ... 0.003 μB/f.u.
SG ... No. 227
Volume ... 18.89 A^3/atom

=====

Entry 24:
## FeCoIrPb (PBE-GGA)

Data for a relaxed structure of FeCoIrPb.

Geometry as POSCAR:
```
FeCoIrPb
1.0
0.000 3.140 3.140
3.140 0.000 3.140
3.140 3.140 0.000
Co Fe Ir Pb
1 1 1 1
direct
0.750 0.750 0.750
0.500 0.500 0.500
0.250 0.250 0.250
0.000 0.000 0.000
```

Total DFT energy (no corrections) ... -6.610 eV per atom
Size of the total moment ... 5.117 μB/f.u.
SG ... No. 216
Volume ... 15.48 A^3/atom